# 1
DFT (PBE) results for a relaxed structure of AcCePb2.

Output
N(E_F), states/eV/atom: 2.054
Space-group type: No. 11
Energy of formation, eV per atom: -0.455

Unit cell a=4.7543 b=4.9663 c=11.6650 alpha=90.00 beta=101.75 gamma=90.00
Closest atoms and distances in Å follow each position.
Fractional positions:
Ac: 0.1860 0.2500 0.3729  7 Pb 3.47-3.81
Ac: 0.8141 0.7500 0.6271  7 Pb 3.47-3.81
Ce: 0.0530 0.7500 0.1069  8 Pb 3.43-3.45, 2 Ce 3.48
Ce: 0.9470 0.2500 0.8931  8 Pb 3.43-3.45, 2 Ce 3.48
Pb: 0.3386 0.2500 0.6763  2 Ce 3.43, 5 Ac 3.47-3.48, 2 Pb 3.47
Pb: 0.4443 0.7500 0.8881  6 Ce 3.44-3.45, 4 Pb 3.47-3.56, 2 Ac 3.81
Pb: 0.5557 0.2500 0.1119  6 Ce 3.44-3.45, 4 Pb 3.47-3.56, 2 Ac 3.81
Pb: 0.6614 0.7500 0.3237  2 Ce 3.43, 5 Ac 3.47-3.48, 2 Pb 3.47


# 2
DFT (PBE) results for a relaxed structure of Ga3NiRh.

Output
N(E_F), states/eV/atom: 0.264
Space-group type: No. 14
Relative energy among the computed polymorphs, eV/atom: 0.000
Energy of formation, eV per atom: -0.403

Unit cell a=6.0250 b=7.1637 c=8.8558 alpha=90.00 beta=131.76 gamma=90.00
Closest atoms and distances in Å follow each position.
Fractional positions:
Ga: 0.0023 0.1355 0.2932  2 Ni 2.41-2.46, 3 Rh 2.53-2.69, 2 Ga 2.69-2.70
Ga: 0.0023 0.3645 0.7932  2 Ni 2.41-2.46, 3 Rh 2.53-2.69, 2 Ga 2.69-2.70
Ga: 0.3732 0.6379 0.0526  2 Ni 2.55-2.65, 3 Rh 2.55-2.83, 3 Ga 2.70-2.81
Ga: 0.3732 0.8621 0.5526  2 Ni 2.55-2.65, 3 Rh 2.55-2.83, 3 Ga 2.70-2.81
Ga: 0.3828 0.0997 0.0603  2 Ni 2.45-2.62, 2 Rh 2.59-2.71, 3 Ga 2.68-2.70
Ga: 0.3828 0.4003 0.5603  2 Ni 2.45-2.62, 2 Rh 2.59-2.71, 3 Ga 2.68-2.70
Ga: 0.6172 0.5997 0.4397  2 Ni 2.45-2.62, 2 Rh 2.59-2.71, 3 Ga 2.68-2.70
Ga: 0.6172 0.9003 0.9397  2 Ni 2.45-2.62, 2 Rh 2.59-2.71, 3 Ga 2.68-2.70
Ga: 0.6268 0.1379 0.4474  2 Ni 2.55-2.65, 3 Rh 2.55-2.83, 3 Ga 2.70-2.81
Ga: 0.6268 0.3621 0.9474  2 Ni 2.55-2.65, 3 Rh 2.55-2.83, 3 Ga 2.70-2.81
Ga: 0.9977 0.6355 0.2068  2 Ni 2.41-2.46, 3 Rh 2.53-2.69, 2 Ga 2.69-2.70
Ga: 0.9977 0.8645 0.7068  2 Ni 2.41-2.46, 3 Rh 2.53-2.69, 2 Ga 2.69-2.70
Ni: 0.1984 0.5816 0.6912  6 Ga 2.41-2.65
Ni: 0.1984 0.9184 0.1912  6 Ga 2.41-2.65
Ni: 0.8016 0.0816 0.8088  6 Ga 2.41-2.65
Ni: 0.8016 0.4184 0.3088  6 Ga 2.41-2.65
Rh: 0.1974 0.1538 0.6689  8 Ga 2.53-2.83
Rh: 0.1974 0.3462 0.1689  8 Ga 2.53-2.83
Rh: 0.8026 0.6538 0.8311  8 Ga 2.53-2.83
Rh: 0.8026 0.8462 0.3311  8 Ga 2.53-2.83


# 3
DFT (PBE) results for a relaxed structure of Th2CrMoN5.

Output
N(E_F), states/eV/atom: 0.374
Space-group type: No. 36
Uncorrected formation energy, eV/atom: -1.055

Unit cell a=7.0435 b=7.0435 c=9.8370 alpha=90.00 beta=90.00 gamma=151.81
Closest atoms and distances in Å follow each position.
Fractional positions:
Th: 0.1256 0.8744 0.5000  8 N 2.40-2.67
Th: 0.1338 0.8662 0.1251  7 N 2.46-2.59
Th: 0.8662 0.1338 0.6251  7 N 2.46-2.59
Th: 0.8744 0.1256 0.0000  8 N 2.40-2.67
Cr: 0.4401 0.5599 0.2759  4 N 1.79-1.99
Cr: 0.5599 0.4401 0.7759  4 N 1.79-1.99
Mo: 0.1927 0.8073 0.8184  6 N 2.09-2.28
Mo: 0.8073 0.1927 0.3184  6 N 2.09-2.28
N: 0.0433 0.9567 0.8630  2 Cr 1.93, 1 Mo 2.09
N: 0.3000 0.7000 0.4712  2 Mo 2.28, 3 Th 2.40-2.46
N: 0.3101 0.6899 0.1839  1 Cr 1.99, 2 Mo 2.17
N: 0.3476 0.6524 0.8209  1 Mo 2.12
N: 0.4945 0.5055 0.1108  1 Cr 1.79
N: 0.5055 0.4945 0.6108  1 Cr 1.79
N: 0.6524 0.3476 0.3209  1 Mo 2.12
N: 0.6899 0.3101 0.6839  1 Cr 1.99, 2 Mo 2.17
N: 0.7000 0.3000 0.9712  2 Mo 2.28, 3 Th 2.40-2.46
N: 0.9567 0.0433 0.3630  2 Cr 1.93, 1 Mo 2.09


# 4
DFT (PBE) results for a relaxed structure of Ca6GaAg.

Output
N(E_F), states/eV/atom: 0.971
Space-group type: No. 139
Energy of formation, eV per atom: -0.193

Unit cell a=10.1510 b=10.1510 c=10.1510 alpha=149.59 beta=149.59 gamma=43.55
Closest atoms and distances in Å follow each position.
Fractional positions:
Ca: 0.0940 0.5940 0.5000  2 Ga 3.20, 2 Ag 3.20, 1 Ca 3.55
Ca: 0.2486 0.2486 0.0000  12 Ca 3.77-3.99
Ca: 0.4060 0.9060 0.5000  2 Ag 3.20, 2 Ga 3.20, 1 Ca 3.55
Ca: 0.5940 0.0940 0.5000  2 Ga 3.20, 2 Ag 3.20, 1 Ca 3.55
Ca: 0.7514 0.7514 0.0000  12 Ca 3.77-3.99
Ca: 0.9060 0.4060 0.5000  2 Ag 3.20, 2 Ga 3.20, 1 Ca 3.55
Ga: 0.0000 0.0000 0.0000  8 Ca 3.20
Ag: 0.5000 0.5000 0.0000  8 Ca 3.20


# 5
DFT (PBE) results for a relaxed structure of Ac3CePm2Se6.

Output
N(E_F), states/eV/atom: 0.950
Space-group type: No. 12
Uncorrected formation energy, eV/atom: -1.841

Unit cell a=7.4798 b=7.4798 c=7.5599 alpha=99.51 beta=99.51 gamma=120.11
Closest atoms and distances in Å follow each position.
Fractional positions:
Ac: 0.0000 0.0000 0.0000  6 Se 3.14
Ac: 0.3329 0.6671 0.0000  6 Se 3.14
Ac: 0.6671 0.3329 0.0000  6 Se 3.14
Ce: 0.5000 0.5000 0.5000  6 Se 2.99-3.00
Pm: 0.1667 0.8333 0.5000  6 Se 2.99
Pm: 0.8333 0.1667 0.5000  6 Se 2.99
Se: 0.0892 0.4227 0.2679  2 Pm 2.99, 1 Ce 2.99, 3 Ac 3.14
Se: 0.2439 0.2439 0.7329  2 Pm 2.99, 1 Ce 3.00, 3 Ac 3.14
Se: 0.4227 0.0892 0.2679  2 Pm 2.99, 1 Ce 2.99, 3 Ac 3.14
Se: 0.5773 0.9108 0.7321  2 Pm 2.99, 1 Ce 2.99, 3 Ac 3.14
Se: 0.7561 0.7561 0.2671  2 Pm 2.99, 1 Ce 3.00, 3 Ac 3.14
Se: 0.9108 0.5773 0.7321  2 Pm 2.99, 1 Ce 2.99, 3 Ac 3.14


# 6
DFT (PBE) results for a relaxed structure of NaSbBr3.

Output
N(E_F), states/eV/atom: 0.000
Space-group type: No. 148
Relative energy among the computed polymorphs, eV/atom: 0.011
Uncorrected formation energy, eV/atom: -0.875

Unit cell a=8.0252 b=8.0252 c=8.0252 alpha=59.35 beta=59.35 gamma=59.35
Closest atoms and distances in Å follow each position.
Fractional positions:
Na: 0.1593 0.1593 0.1593  6 Br 3.02-3.03
Na: 0.8407 0.8407 0.8407  6 Br 3.02-3.03
Sb: 0.4237 0.4237 0.4237  3 Br 2.76, 1 Sb 3.01
Sb: 0.5763 0.5763 0.5763  3 Br 2.76, 1 Sb 3.01
Br: 0.0683 0.4346 0.7627  1 Sb 2.76, 2 Na 3.02-3.03
Br: 0.2373 0.9317 0.5654  1 Sb 2.76, 2 Na 3.02-3.03
Br: 0.4346 0.7627 0.0683  1 Sb 2.76, 2 Na 3.02-3.03
Br: 0.5654 0.2373 0.9317  1 Sb 2.76, 2 Na 3.02-3.03
Br: 0.7627 0.0683 0.4346  1 Sb 2.76, 2 Na 3.02-3.03
Br: 0.9317 0.5654 0.2373  1 Sb 2.76, 2 Na 3.02-3.03


# 7
DFT (PBE) results for a relaxed structure of Zn3N2Cl.

Output
N(E_F), states/eV/atom: 0.226
Space-group type: No. 2
Uncorrected formation energy, eV/atom: 0.063

Unit cell a=3.2411 b=5.5724 c=11.9082 alpha=101.13 beta=97.69 gamma=90.01
Closest atoms and distances in Å follow each position.
Fractional positions:
Zn: 0.0194 0.3001 0.0386  2 N 1.90-1.92
Zn: 0.1298 0.5217 0.2657  2 N 1.97-2.11
Zn: 0.4181 0.0488 0.8318  4 N 2.06-2.13
Zn: 0.5819 0.9512 0.1682  4 N 2.06-2.13
Zn: 0.8702 0.4783 0.7343  2 N 1.97-2.11
Zn: 0.9806 0.6999 0.9614  2 N 1.90-1.92
N: 0.0605 0.7031 0.1247  4 Zn 1.92-2.13
N: 0.0871 0.1813 0.1787  4 Zn 1.90-2.06
N: 0.9129 0.8187 0.8213  4 Zn 1.90-2.06
N: 0.9395 0.2969 0.8753  4 Zn 1.92-2.13
Cl: 0.3094 0.2825 0.6107  2 Zn 2.31
Cl: 0.6906 0.7175 0.3893  2 Zn 2.31


# 8
DFT (PBE) results for a relaxed structure of HoPuSc6.

Output
N(E_F), states/eV/atom: 2.174
Space-group type: No. 65
Relative energy among the computed polymorphs, eV/atom: 0.000
Energy of formation, eV per atom: 0.069

Unit cell a=6.6310 b=6.6310 c=4.5970 alpha=90.00 beta=90.00 gamma=90.13
Closest atoms and distances in Å follow each position.
Fractional positions:
Ho: 0.0000 0.0000 0.0000  12 Sc 3.32
Pu: 0.5000 0.5000 0.0000  12 Sc 3.24-3.32
Sc: 0.0000 0.5000 0.0000  8 Sc 3.28-3.29, 2 Ho 3.32, 2 Pu 3.32
Sc: 0.2553 0.7447 0.5000  8 Sc 3.24-3.39, 2 Pu 3.25, 2 Ho 3.32
Sc: 0.2557 0.2557 0.5000  8 Sc 3.24-3.39, 2 Pu 3.24, 2 Ho 3.32
Sc: 0.5000 0.0000 0.0000  8 Sc 3.28-3.29, 2 Ho 3.32, 2 Pu 3.32
Sc: 0.7443 0.7443 0.5000  8 Sc 3.24-3.39, 2 Pu 3.24, 2 Ho 3.32
Sc: 0.7447 0.2553 0.5000  8 Sc 3.24-3.39, 2 Pu 3.25, 2 Ho 3.32


# 9
DFT (PBE) results for a relaxed structure of Ba4ZnI3.

Output
N(E_F), states/eV/atom: 1.032
Space-group type: No. 65
Uncorrected formation energy, eV/atom: -1.031

Unit cell a=8.8664 b=8.8664 c=4.7554 alpha=90.00 beta=90.00 gamma=107.08
Closest atoms and distances in Å follow each position.
Fractional positions:
Ba: 0.2208 0.2208 0.5000  2 Zn 3.33, 2 I 3.58
Ba: 0.2372 0.7628 0.0000  1 Zn 3.38, 5 I 3.55-3.75
Ba: 0.7628 0.2372 0.0000  1 Zn 3.38, 5 I 3.55-3.75
Ba: 0.7792 0.7792 0.5000  2 Zn 3.33, 2 I 3.58
Zn: 0.0000 0.0000 0.0000  6 Ba 3.33-3.38
I: 0.0000 0.5000 0.5000  6 Ba 3.55-3.58
I: 0.5000 0.0000 0.5000  6 Ba 3.55-3.58
I: 0.5000 0.5000 0.0000  6 Ba 3.75-3.78


# 10
DFT (PBE) results for a relaxed structure of Pr2Nd2SmDy2.

Output
N(E_F), states/eV/atom: 1.464
Space-group type: No. 12
Energy of formation, eV per atom: 0.016

Unit cell a=6.3108 b=6.3108 c=8.1565 alpha=97.39 beta=97.39 gamma=48.19
Closest atoms and distances in Å follow each position.
Fractional positions:
Pr: 0.1434 0.1434 0.4280  3 Pr 3.64-3.66, 1 Sm 3.65, 5 Nd 3.65-3.68, 3 Dy 3.66-3.67
Pr: 0.8566 0.8566 0.5720  3 Pr 3.64-3.66, 1 Sm 3.65, 5 Nd 3.65-3.68, 3 Dy 3.66-3.67
Nd: 0.4289 0.4289 0.2809  4 Dy 3.60-3.64, 2 Sm 3.62, 5 Pr 3.65-3.68, 1 Nd 3.72
Nd: 0.5711 0.5711 0.7191  4 Dy 3.60-3.64, 2 Sm 3.62, 5 Pr 3.65-3.68, 1 Nd 3.72
Sm: 0.0000 0.0000 0.0000  4 Nd 3.62, 6 Dy 3.62-3.64, 2 Pr 3.65
Dy: 0.2849 0.2849 0.8600  4 Nd 3.60-3.64, 2 Dy 3.61, 3 Sm 3.62-3.64, 3 Pr 3.66-3.67
Dy: 0.7151 0.7151 0.1400  4 Nd 3.60-3.64, 2 Dy 3.61, 3 Sm 3.62-3.64, 3 Pr 3.66-3.67


# 11
DFT (PBE) results for a relaxed structure of ZrAs3P.

Output
N(E_F), states/eV/atom: 0.737
Space-group type: No. 221
Relative energy among the computed polymorphs, eV/atom: 0.000
Energy of formation, eV per atom: 0.377

Unit cell a=4.7056 b=4.7056 c=4.7056 alpha=90.00 beta=90.00 gamma=90.00
Closest atoms and distances in Å follow each position.
Fractional positions:
Zr: 0.0000 0.0000 0.0000  12 As 3.33
As: 0.0000 0.5000 0.5000  2 P 2.35
As: 0.5000 0.0000 0.5000  2 P 2.35
As: 0.5000 0.5000 0.0000  2 P 2.35
P: 0.5000 0.5000 0.5000  6 As 2.35


# 12
DFT (PBE) results for a relaxed structure of Tb2Sm5DyY.

Output
N(E_F), states/eV/atom: 1.596
Space-group type: No. 36
Energy of formation, eV per atom: 0.145

Unit cell a=10.4636 b=10.4636 c=10.6959 alpha=90.00 beta=90.00 gamma=148.69
Closest atoms and distances in Å follow each position.
Fractional positions:
Tb: 0.1114 0.8886 0.5000  1 Y 3.43, 7 Sm 3.47-3.79, 2 Dy 3.72
Tb: 0.1154 0.8846 0.0800  9 Sm 3.35-3.73, 1 Y 3.69
Tb: 0.8846 0.1154 0.5800  9 Sm 3.35-3.73, 1 Y 3.69
Tb: 0.8886 0.1114 0.0000  1 Y 3.43, 7 Sm 3.47-3.79, 2 Dy 3.72
Sm: 0.0174 0.9826 0.7841  2 Dy 3.24, 3 Tb 3.45-3.58
Sm: 0.2814 0.7186 0.0735  1 Dy 3.06, 1 Tb 3.35
Sm: 0.2987 0.7013 0.4710  4 Sm 3.43-3.82, 1 Dy 3.49, 3 Tb 3.51-3.79, 3 Y 3.52-3.80
Sm: 0.3885 0.6115 0.7858  6 Sm 3.53-3.84, 4 Tb 3.58-3.64, 1 Y 3.80
Sm: 0.4806 0.5194 0.5051  2 Dy 3.19-3.33, 2 Tb 3.51, 2 Sm 3.53
Sm: 0.5194 0.4806 0.0051  2 Dy 3.19-3.33, 2 Tb 3.51, 2 Sm 3.53
Sm: 0.6115 0.3885 0.2858  6 Sm 3.53-3.84, 4 Tb 3.58-3.64, 1 Y 3.80
Sm: 0.7013 0.2987 0.9710  4 Sm 3.43-3.82, 1 Dy 3.49, 3 Tb 3.51-3.79, 3 Y 3.52-3.80
Sm: 0.7186 0.2814 0.5735  1 Dy 3.06, 1 Tb 3.35
Sm: 0.9826 0.0174 0.2841  2 Dy 3.24, 3 Tb 3.45-3.58
Dy: 0.4109 0.5891 0.2227  5 Sm 3.06-3.33
Dy: 0.5891 0.4109 0.7227  5 Sm 3.06-3.33
Y: 0.2002 0.7998 0.7741  2 Tb 3.43-3.69, 8 Sm 3.52-3.80, 2 Dy 3.64
Y: 0.7998 0.2002 0.2741  2 Tb 3.43-3.69, 8 Sm 3.52-3.80, 2 Dy 3.64